# Be2H6S, optimized geometry, DFT GGA-PBE
# Uncorrected energy ... -2.51 eV per atom
# DOS at the Fermi energy ... 1.26 states/eV/f.u.
data_Be2H6S
_chemical_formula_sum 'Be8 H24 S4'
_symmetry_space_group_name_H-M 'F m -3 m'
_symmetry_Int_Tables_number 225
_symmetry_space_group_name_Hall '-F 4 2 3'
_cell_length_a 6.196
_cell_length_b 6.196
_cell_length_c 6.196
_cell_angle_alpha 90.00
_cell_angle_beta 90.00
_cell_angle_gamma 90.00
loop_
_atom_site_label
_atom_site_fract_x
_atom_site_fract_y
_atom_site_fract_z
_atom_site_occupancy
Be1 0.250 0.250 0.250 1
H1 0.000 0.000 0.245 1
S1 0.000 0.000 0.500 1

# InCuS3, optimized geometry, DFT GGA-PBE
# Energy relative to the elements, uncorrected ... 0.33 eV/atom
# Uncorrected energy ... -3.52 eV per atom
# Polymorph energy (0 for the lowest one) ... 0.00 kcal/mol of atoms
# DOS at the Fermi energy ... 6.17 states/eV/f.u.
data_InCuS3
_chemical_formula_sum 'In1 Cu1 S3'
_symmetry_space_group_name_H-M 'P m -3 m'
_symmetry_Int_Tables_number 221
_symmetry_space_group_name_Hall '-P 4 2 3'
_cell_length_a 4.571
_cell_length_b 4.571
_cell_length_c 4.571
_cell_angle_alpha 90.00
_cell_angle_beta 90.00
_cell_angle_gamma 90.00
loop_
_atom_site_label
_atom_site_fract_x
_atom_site_fract_y
_atom_site_fract_z
_atom_site_occupancy
In1 0.000 0.000 0.000 1
Cu1 0.500 0.500 0.500 1
S1 0.000 0.500 0.500 1

# Tl3AsC, optimized geometry, DFT GGA-PBE
# Energy relative to the elements ... 0.953 eV per atom
# Uncorrected energy ... -3.24 eV per atom
# Polymorph energy (0 for the lowest one) ... 0.00 kcal/mol of atoms
# DOS at the Fermi energy ... 1.76 states/eV/f.u.
data_Tl3AsC
_chemical_formula_sum 'Tl3 As1 C1'
_symmetry_space_group_name_H-M 'P m -3 m'
_symmetry_Int_Tables_number 221
_symmetry_space_group_name_Hall '-P 4 2 3'
_cell_length_a 4.914
_cell_length_b 4.914
_cell_length_c 4.914
_cell_angle_alpha 90.00
_cell_angle_beta 90.00
_cell_angle_gamma 90.00
loop_
_atom_site_label
_atom_site_fract_x
_atom_site_fract_y
_atom_site_fract_z
_atom_site_occupancy
Tl1 0.000 0.000 0.500 1
As1 0.500 0.500 0.500 1
C1 0.000 0.000 0.000 1

# Pm2MnGe3Ir4, optimized geometry, DFT GGA-PBE
# Energy relative to the elements ... -0.696 eV per atom
# Uncorrected energy ... -7.49 eV per atom
# DOS at the Fermi energy ... 4.98 states/eV/f.u.
data_Pm2MnGe3Ir4
_chemical_formula_sum 'Pm2 Mn1 Ge3 Ir4'
_symmetry_space_group_name_H-M 'P -4 m 2'
_symmetry_Int_Tables_number 115
_symmetry_space_group_name_Hall 'P -4 -2'
_cell_length_a 4.177
_cell_length_b 4.177
_cell_length_c 10.549
_cell_angle_alpha 90.00
_cell_angle_beta 90.00
_cell_angle_gamma 90.00
loop_
_atom_site_label
_atom_site_fract_x
_atom_site_fract_y
_atom_site_fract_z
_atom_site_occupancy
Pm1 0.000 0.500 0.248 1
Mn1 0.000 0.000 0.500 1
Ge1 0.000 0.500 0.870 1
Ge2 0.500 0.500 0.500 1
Ir1 0.000 0.000 0.000 1
Ir2 0.000 0.500 0.637 1
Ir3 0.500 0.500 0.000 1

# La5Tl2P, optimized geometry, DFT GGA-PBE
# Energy relative to the elements ... -0.606 eV per atom
# Uncorrected energy ... -4.95 eV per atom
# DOS at the Fermi energy ... 9.63 states/eV/f.u.
data_La5Tl2P
_chemical_formula_sum 'La20 Tl8 P4'
_symmetry_space_group_name_H-M 'P n m a'
_symmetry_Int_Tables_number 62
_symmetry_space_group_name_Hall '-P 2ac 2n'
_cell_length_a 12.875
_cell_length_b 9.566
_cell_length_c 8.314
_cell_angle_alpha 90.00
_cell_angle_beta 90.00
_cell_angle_gamma 90.00
loop_
_atom_site_label
_atom_site_fract_x
_atom_site_fract_y
_atom_site_fract_z
_atom_site_occupancy
La1 0.003 0.250 0.061 1
La2 0.067 0.047 0.678 1
La3 0.201 0.750 0.362 1
La4 0.205 0.250 0.333 1
Tl1 0.172 0.512 0.065 1
P1 0.017 0.750 0.570 1

# YZn4Pb, optimized geometry, DFT GGA-PBE
# Energy relative to the elements ... -0.108 eV per atom
# Uncorrected energy ... -2.65 eV per atom
# DOS at the Fermi energy ... 4.20 states/eV/f.u.
data_YZn4Pb
_chemical_formula_sum 'Y4 Zn16 Pb4'
_symmetry_space_group_name_H-M 'F -4 3 m'
_symmetry_Int_Tables_number 216
_symmetry_space_group_name_Hall 'F -4 2 3'
_cell_length_a 7.828
_cell_length_b 7.828
_cell_length_c 7.828
_cell_angle_alpha 90.00
_cell_angle_beta 90.00
_cell_angle_gamma 90.00
loop_
_atom_site_label
_atom_site_fract_x
_atom_site_fract_y
_atom_site_fract_z
_atom_site_occupancy
Y1 0.000 0.000 0.000 1
Zn1 0.127 0.127 0.627 1
Pb1 0.250 0.250 0.250 1

# Th2GaAu, optimized geometry, DFT GGA-PBE
# Energy relative to the elements ... -0.536 eV per atom
# Uncorrected energy ... -5.82 eV per atom
# DOS at the Fermi energy ... 4.52 states/eV/f.u.
data_Th2GaAu
_chemical_formula_sum 'Th4 Ga2 Au2'
_symmetry_space_group_name_H-M 'A m m 2'
_symmetry_Int_Tables_number 38
_symmetry_space_group_name_Hall 'A 2 -2'
_cell_length_a 4.305
_cell_length_b 4.229
_cell_length_c 11.462
_cell_angle_alpha 90.00
_cell_angle_beta 90.00
_cell_angle_gamma 90.00
loop_
_atom_site_label
_atom_site_fract_x
_atom_site_fract_y
_atom_site_fract_z
_atom_site_occupancy
Th1 0.000 0.000 0.000 1
Th2 0.500 0.000 0.294 1
Ga1 0.500 0.000 0.569 1
Au1 0.000 0.000 0.718 1

# LaCeP, optimized geometry, DFT GGA-PBE
# Energy relative to the elements ... -0.806 eV per atom
# Uncorrected energy ... -6.23 eV per atom
# DOS at the Fermi energy ... 8.04 states/eV/f.u.
data_LaCeP
_chemical_formula_sum 'La4 Ce4 P4'
_symmetry_space_group_name_H-M 'F -4 3 m'
_symmetry_Int_Tables_number 216
_symmetry_space_group_name_Hall 'F -4 2 3'
_cell_length_a 6.925
_cell_length_b 6.925
_cell_length_c 6.925
_cell_angle_alpha 90.00
_cell_angle_beta 90.00
_cell_angle_gamma 90.00
loop_
_atom_site_label
_atom_site_fract_x
_atom_site_fract_y
_atom_site_fract_z
_atom_site_occupancy
La1 0.000 0.000 0.000 1
Ce1 0.000 0.000 0.500 1
P1 0.250 0.250 0.250 1